A plane-wave DFT calculation with PBE-GGA was carried out for a relaxed PmCuSi2Rh crystal.

It has space group I-4m2 (No. 119), with a = 4.106 Å, b = 4.106 Å, c = 9.983 Å, α = 90.00°, β = 90.00° and γ = 90.00°. The inequivalent atoms are Pm at (0.000, 0.000, 0.000), Cu at (0.000, 0.500, 0.750), Si at (0.000, 0.000, 0.379) and Rh at (0.000, 0.500, 0.250).

Its electronic total energy is -0.228 hartree per atom. The calculation puts the energy relative to the elements, uncorrected at -798 meV per atom.